# 1
# MnIr, relaxed, DFT PBE
data_MnIr
_space_group_name_H-M_alt 'P 4/m c c'
_space_group_IT_number 124
_space_group_name_Hall '-P 4 2c'
_cell_length_a 7.4201
_cell_length_b 7.4201
_cell_length_c 4.5227
_cell_angle_alpha 90.00
_cell_angle_beta 90.00
_cell_angle_gamma 90.00
loop_
_atom_site_label
_atom_site_fract_x
_atom_site_fract_y
_atom_site_fract_z
_atom_site_occupancy
Mn1 0.0762 0.2873 0.0000 1
Ir1 0.2469 0.4077 0.5000 1
# - formation energy from the elements (meV per atom) = 250
# - V (Å³/atom) = 15.56
# - DOS at the Fermi energy (states/eV/atom) = 1.059
# - mass density (g/cm3) = 13.186

***

# 2
# MnIr2, relaxed, DFT PBE
data_MnIr2
_space_group_name_H-M_alt 'C 1 2/m 1'
_space_group_IT_number 12
_cell_length_a 9.7118
_cell_length_b 2.6990
_cell_length_c 6.2930
_cell_angle_alpha 90.00
_cell_angle_beta 103.92
_cell_angle_gamma 90.00
loop_
_space_group_symop_operation_xyz
'x,y,z'
'-x,-y,-z'
'-x,y,-z'
'x,-y,z'
'x+1/2,y+1/2,z'
'-x+1/2,-y+1/2,-z'
'-x+1/2,y+1/2,-z'
'x+1/2,-y+1/2,z'
loop_
_atom_site_label
_atom_site_fract_x
_atom_site_fract_y
_atom_site_fract_z
_atom_site_occupancy
Mn1 0.0291 0.0000 0.3097 1
Ir1 0.1354 0.5000 0.0295 1
Ir2 0.1844 0.5000 0.6306 1
# - formation energy from the elements (meV per atom) = -112
# - V (Å³/atom) = 13.34
# - DOS at the Fermi energy (states/eV/atom) = 1.030
# - mass density (g/cm3) = 18.227

***

# 3
# Mn4Ir5, relaxed, DFT PBE
data_Mn4Ir5
_space_group_name_H-M_alt 'P 63/m c m'
_space_group_IT_number 193
_space_group_name_Hall '-P 6c 2'
_cell_length_a 7.3786
_cell_length_b 7.3786
_cell_length_c 5.2926
_cell_angle_alpha 90.00
_cell_angle_beta 90.00
_cell_angle_gamma 120.00
loop_
_atom_site_label
_atom_site_fract_x
_atom_site_fract_y
_atom_site_fract_z
_atom_site_occupancy
Mn1 0.0000 0.0000 0.0000 1
Mn2 0.0000 0.3417 0.2500 1
Ir1 0.0000 0.3204 0.7500 1
Ir2 0.3333 0.6667 0.0000 1
# - energy relative to the lowest polymorph listed for this composition (meV per atom) = 45
# - formation energy from the elements (meV per atom) = -58
# - V (Å³/atom) = 13.86
# - DOS at the Fermi energy (states/eV/atom) = 0.892
# - mass density (g/cm3) = 15.715

***

# 4
# MnIr, relaxed, DFT PBE
data_MnIr
_space_group_name_H-M_alt 'P 21 3'
_space_group_IT_number 198
_space_group_name_Hall 'P 2ac 2ab 3'
_cell_length_a 4.8541
_cell_length_b 4.8541
_cell_length_c 4.8541
_cell_angle_alpha 90.00
_cell_angle_beta 90.00
_cell_angle_gamma 90.00
loop_
_atom_site_label
_atom_site_fract_x
_atom_site_fract_y
_atom_site_fract_z
_atom_site_occupancy
Mn1 0.0943 0.0943 0.0943 1
Ir1 0.0958 0.5958 0.9042 1
# - formation energy from the elements (meV per atom) = 56
# - V (Å³/atom) = 14.30
# - DOS at the Fermi energy (states/eV/atom) = 1.467
# - mass density (g/cm3) = 14.353

***

# 5
# MnIr, relaxed, DFT PBE
data_MnIr
_space_group_name_H-M_alt 'P 42/m n m'
_space_group_IT_number 136
_space_group_name_Hall '-P 4n 2n'
_cell_length_a 7.6393
_cell_length_b 7.6393
_cell_length_c 2.6246
_cell_angle_alpha 90.00
_cell_angle_beta 90.00
_cell_angle_gamma 90.00
loop_
_atom_site_label
_atom_site_fract_x
_atom_site_fract_y
_atom_site_fract_z
_atom_site_occupancy
Mn1 0.1559 0.1559 0.0000 1
Ir1 0.1494 0.8506 0.0000 1
# - formation energy from the elements (meV per atom) = 721
# - V (Å³/atom) = 19.15
# - DOS at the Fermi energy (states/eV/atom) = 1.008
# - mass density (g/cm3) = 10.718

***

# 6
# MnIr3, relaxed, DFT PBE
data_MnIr3
_space_group_name_H-M_alt 'R -3 m'
_space_group_IT_number 166
_space_group_name_Hall '-R 3 2"'
_cell_length_a 2.6994
_cell_length_b 2.6994
_cell_length_c 26.2477
_cell_angle_alpha 90.00
_cell_angle_beta 90.00
_cell_angle_gamma 120.00
loop_
_atom_site_label
_atom_site_fract_x
_atom_site_fract_y
_atom_site_fract_z
_atom_site_occupancy
Mn1 0.0000 0.0000 0.0000 1
Ir1 0.0000 0.0000 0.2543 1
Ir2 0.0000 0.0000 0.5000 1
# - formation energy from the elements (meV per atom) = -48
# - V (Å³/atom) = 13.80
# - DOS at the Fermi energy (states/eV/atom) = 0.969
# - mass density (g/cm3) = 18.996

***

# 7
# Mn3Ir4, relaxed, DFT PBE
data_Mn3Ir4
_space_group_name_H-M_alt 'P 6/m m m'
_space_group_IT_number 191
_space_group_name_Hall '-P 6 2'
_cell_length_a 4.6445
_cell_length_b 4.6445
_cell_length_c 4.9379
_cell_angle_alpha 90.00
_cell_angle_beta 90.00
_cell_angle_gamma 120.00
loop_
_atom_site_label
_atom_site_fract_x
_atom_site_fract_y
_atom_site_fract_z
_atom_site_occupancy
Mn1 0.0000 0.5000 0.0000 1
Ir1 0.0000 0.0000 0.2533 1
Ir2 0.3333 0.6667 0.5000 1
# - energy relative to the lowest polymorph listed for this composition (meV per atom) = 0
# - formation energy from the elements (meV per atom) = 100
# - V (Å³/atom) = 13.18
# - DOS at the Fermi energy (states/eV/atom) = 1.236
# - mass density (g/cm3) = 16.807

***

# 8
# MnIr2, relaxed, DFT PBE
data_MnIr2
_space_group_name_H-M_alt 'C 1 m 1'
_space_group_IT_number 8
_cell_length_a 9.8965
_cell_length_b 2.7349
_cell_length_c 6.3755
_cell_angle_alpha 90.00
_cell_angle_beta 103.96
_cell_angle_gamma 90.00
loop_
_space_group_symop_operation_xyz
'x,y,z'
'x,-y,z'
'x+1/2,y+1/2,z'
'x+1/2,-y+1/2,z'
loop_
_atom_site_label
_atom_site_fract_x
_atom_site_fract_y
_atom_site_fract_z
_atom_site_occupancy
Mn1 0.0000 0.0000 0.0000 1
Mn2 0.1655 0.5000 0.3264 1
Ir1 0.1104 0.5000 0.7193 1
Ir2 0.2748 0.0000 0.0557 1
Ir3 0.3328 0.0000 0.6619 1
Ir4 0.4468 0.5000 0.3788 1
# - formation energy from the elements (meV per atom) = -151
# - V (Å³/atom) = 13.96
# - DOS at the Fermi energy (states/eV/atom) = 0.947
# - mass density (g/cm3) = 17.427